(1)
{"formula": "Tm2AlS4", "functional": "GGA-PBE", "state": "relaxed", "lattice_angstrom": [[3.777, 0.000, 0.000], [0.000, 6.724, -0.101], [-1.889, -3.372, 5.889]], "species": ["S", "S", "S", "S", "Tm", "Tm", "Al"], "frac_coords": [[0.376, 0.732, 0.753], [0.111, 0.808, 0.222], [0.889, 0.192, 0.778], [0.624, 0.268, 0.247], [0.726, 0.737, 0.451], [0.274, 0.263, 0.549], [0.000, 0.000, 0.000]], "magmom_total_mub_per_fu": 0.00, "volume_a3_per_cell": 148.31, "final_energy_ha_per_atom": -0.21116, "dos_at_fermi_per_ev_atom": 0.481, "rho_g_cm3": 5.52}

=====

(2)
{"formula": "Tm4Al2S", "functional": "GGA-PBE", "state": "relaxed", "lattice_angstrom": [[3.784, 0.000, 1.145], [1.633, 5.938, 1.428], [-0.194, 0.135, 7.463]], "species": ["Al", "Al", "S", "Tm", "Tm", "Tm", "Tm"], "frac_coords": [[0.380, 0.576, 0.663], [0.620, 0.424, 0.337], [0.000, 0.000, 0.000], [0.329, 0.266, 0.076], [0.906, 0.822, 0.367], [0.671, 0.734, 0.924], [0.094, 0.178, 0.633]], "magmom_total_mub_per_fu": 0.00, "volume_a3_per_cell": 168.54, "final_energy_ha_per_atom": -0.18310, "dos_at_fermi_per_ev_atom": 0.714, "rho_g_cm3": 7.51}

=====

(3)
{"formula": "Tm6AlS4", "functional": "GGA-PBE", "state": "relaxed", "lattice_angstrom": [[-0.556, 2.096, 3.150], [-5.535, 0.653, -3.733], [-7.908, -15.610, 8.992]], "species": ["S", "S", "S", "S", "S", "S", "S", "S", "Tm", "Tm", "Tm", "Tm", "Tm", "Tm", "Tm", "Tm", "Tm", "Tm", "Tm", "Tm", "Al", "Al"], "frac_coords": [[0.861, 0.722, 0.538], [0.139, 0.278, 0.462], [0.590, 0.180, 0.878], [0.139, 0.278, 0.038], [0.861, 0.722, 0.962], [0.590, 0.180, 0.622], [0.410, 0.820, 0.378], [0.410, 0.820, 0.122], [0.229, 0.458, 0.912], [0.046, 0.092, 0.339], [0.954, 0.908, 0.661], [0.500, 0.000, 0.500], [0.229, 0.458, 0.588], [0.771, 0.542, 0.088], [0.345, 0.691, 0.250], [0.771, 0.542, 0.412], [0.500, 0.000, 0.000], [0.046, 0.092, 0.161], [0.655, 0.309, 0.750], [0.954, 0.908, 0.839], [0.669, 0.338, 0.250], [0.331, 0.662, 0.750]], "magmom_total_mub_per_fu": 0.00, "volume_a3_per_cell": 483.81, "final_energy_ha_per_atom": -0.21230, "dos_at_fermi_per_ev_atom": 0.683, "rho_g_cm3": 8.02}

=====

(4)
{"formula": "Tm7AlS5", "functional": "GGA-PBE", "state": "relaxed", "lattice_angstrom": [[3.830, -0.002, 0.000], [-1.918, 6.397, 0.008], [0.000, -0.025, 23.001]], "species": ["S", "S", "S", "S", "S", "S", "S", "S", "S", "S", "Tm", "Tm", "Tm", "Tm", "Tm", "Tm", "Tm", "Tm", "Tm", "Tm", "Tm", "Tm", "Tm", "Tm", "Al", "Al"], "frac_coords": [[0.000, 0.001, 0.000], [0.547, 0.094, 0.139], [0.453, 0.906, 0.639], [0.000, 0.001, 0.500], [0.453, 0.907, 0.861], [0.274, 0.548, 0.071], [0.726, 0.453, 0.929], [0.274, 0.549, 0.429], [0.726, 0.452, 0.571], [0.547, 0.095, 0.361], [0.906, 0.813, 0.386], [0.638, 0.275, 0.035], [0.518, 0.036, 0.750], [0.181, 0.363, 0.175], [0.483, 0.965, 0.250], [0.181, 0.363, 0.325], [0.638, 0.275, 0.465], [0.906, 0.812, 0.114], [0.819, 0.638, 0.675], [0.363, 0.726, 0.535], [0.095, 0.189, 0.614], [0.363, 0.726, 0.965], [0.820, 0.639, 0.825], [0.095, 0.189, 0.886], [0.194, 0.388, 0.750], [0.807, 0.613, 0.250]], "magmom_total_mub_per_fu": 0.00, "volume_a3_per_cell": 563.56, "final_energy_ha_per_atom": -0.21506, "dos_at_fermi_per_ev_atom": 0.479, "rho_g_cm3": 8.07}

=====

(5)
{"formula": "TmAlS2", "functional": "GGA-PBE", "state": "relaxed", "lattice_angstrom": [[3.573, 0.000, 0.000], [1.786, 3.094, 0.000], [1.786, 1.031, 7.970]], "species": ["S", "S", "Tm", "Al"], "frac_coords": [[0.112, 0.112, 0.664], [0.888, 0.888, 0.336], [0.000, 0.000, 0.000], [0.500, 0.500, 0.500]], "magmom_total_mub_per_fu": 0.00, "volume_a3_per_cell": 88.10, "final_energy_ha_per_atom": -0.18639, "dos_at_fermi_per_ev_atom": 0.337, "rho_g_cm3": 4.90}

=====

(6)
{"formula": "YTmAl2S6", "functional": "GGA-PBE", "state": "relaxed", "lattice_angstrom": [[-2.036, -2.416, 5.570], [2.318, -3.895, -4.523], [6.425, 3.571, 0.218]], "species": ["S", "S", "S", "S", "S", "S", "Y", "Al", "Al", "Tm"], "frac_coords": [[0.781, 0.578, 0.698], [0.483, 0.065, 0.262], [0.212, 0.418, 0.262], [0.134, 0.202, 0.698], [0.510, 0.931, 0.698], [0.859, 0.793, 0.262], [0.997, 0.498, 0.480], [0.344, 0.171, 0.501], [0.649, 0.824, 0.459], [0.997, 0.998, 0.980]], "magmom_total_mub_per_fu": 0.00, "volume_a3_per_cell": 225.76, "final_energy_ha_per_atom": -0.21454, "dos_at_fermi_per_ev_atom": 0.000, "rho_g_cm3": 3.71}

=====

no.,uncorrected formation energy (eV per atom)
1,-1.58
2,-0.77
3,-1.50
4,-1.57
5,-0.95
6,-1.52